(1)
# PBE-GGA YPuCdSi, relaxed
# ΔE_f (raw) ... -22.8 kJ per mole of atoms
data_YPuCdSi
_chemical_formula_sum 'Y1 Pu1 Cd1 Si1'
_cell_length_a 5.136
_cell_length_b 5.136
_cell_length_c 5.136
_cell_angle_alpha 60.00
_cell_angle_beta 60.00
_cell_angle_gamma 60.00
_symmetry_space_group_name_H-M 'P 1'
_symmetry_Int_Tables_number 1
loop_
_symmetry_equiv_pos_as_xyz
'x,y,z'
loop_
_atom_site_label
_atom_site_type_symbol
_atom_site_fract_x
_atom_site_fract_y
_atom_site_fract_z
Y1 Y 0.000 0.000 0.000
Pu1 Pu 0.500 0.500 0.500
Cd1 Cd 0.750 0.750 0.750
Si1 Si 0.250 0.250 0.250

=====

(2)
# PBE-GGA PuZnCdSi, relaxed
# ΔE_f (raw) ... -7.5 kJ per mole of atoms
data_PuZnCdSi
_chemical_formula_sum 'Pu1 Zn1 Cd1 Si1'
_cell_length_a 4.837
_cell_length_b 4.837
_cell_length_c 4.837
_cell_angle_alpha 60.00
_cell_angle_beta 60.00
_cell_angle_gamma 60.00
_symmetry_space_group_name_H-M 'P 1'
_symmetry_Int_Tables_number 1
loop_
_symmetry_equiv_pos_as_xyz
'x,y,z'
loop_
_atom_site_label
_atom_site_type_symbol
_atom_site_fract_x
_atom_site_fract_y
_atom_site_fract_z
Pu1 Pu 0.000 0.000 0.000
Zn1 Zn 0.750 0.750 0.750
Cd1 Cd 0.500 0.500 0.500
Si1 Si 0.250 0.250 0.250

=====

(3)
# PBE-GGA SmPuCd17, relaxed
# Energy of formation ... -0.08 eV/atom
data_SmPuCd17
_chemical_formula_sum 'Sm1 Pu1 Cd17'
_cell_length_a 7.687
_cell_length_b 7.687
_cell_length_c 7.687
_cell_angle_alpha 81.94
_cell_angle_beta 81.94
_cell_angle_gamma 81.94
_symmetry_space_group_name_H-M 'P 1'
_symmetry_Int_Tables_number 1
loop_
_symmetry_equiv_pos_as_xyz
'x,y,z'
loop_
_atom_site_label
_atom_site_type_symbol
_atom_site_fract_x
_atom_site_fract_y
_atom_site_fract_z
Sm1 Sm 0.000 0.000 0.000
Pu1 Pu 0.658 0.658 0.658
Cd1 Cd 0.026 0.331 0.634
Cd2 Cd 0.026 0.634 0.331
Cd3 Cd 0.199 0.677 0.677
Cd4 Cd 0.235 0.235 0.235
Cd5 Cd 0.314 0.314 0.850
Cd6 Cd 0.314 0.850 0.314
Cd7 Cd 0.331 0.026 0.634
Cd8 Cd 0.331 0.634 0.026
Cd9 Cd 0.432 0.432 0.432
Cd10 Cd 0.530 0.957 0.957
Cd11 Cd 0.634 0.026 0.331
Cd12 Cd 0.634 0.331 0.026
Cd13 Cd 0.677 0.199 0.677
Cd14 Cd 0.677 0.677 0.199
Cd15 Cd 0.850 0.314 0.314
Cd16 Cd 0.957 0.530 0.957
Cd17 Cd 0.957 0.957 0.530

=====

(4)
# PBE-GGA Sm2PuCd, relaxed
# Energy of formation ... -0.05 eV/atom
# Energy relative to the lowest polymorph listed for this composition ... 0.0000 eV/atom
data_Sm2PuCd
_chemical_formula_sum 'Sm2 Pu1 Cd1'
_cell_length_a 3.566
_cell_length_b 3.566
_cell_length_c 9.144
_cell_angle_alpha 90.00
_cell_angle_beta 90.00
_cell_angle_gamma 90.00
_symmetry_space_group_name_H-M 'P 1'
_symmetry_Int_Tables_number 1
loop_
_symmetry_equiv_pos_as_xyz
'x,y,z'
loop_
_atom_site_label
_atom_site_type_symbol
_atom_site_fract_x
_atom_site_fract_y
_atom_site_fract_z
Sm1 Sm 0.000 0.000 0.235
Sm2 Sm 0.000 0.000 0.765
Pu1 Pu 0.500 0.500 0.500
Cd1 Cd 0.500 0.500 0.000

=====

(5)
# PBE-GGA Sm2PuCd, relaxed
# Energy of formation ... 0.07 eV/atom
# Energy relative to the lowest polymorph listed for this composition ... 0.1140 eV/atom
data_Sm2PuCd
_chemical_formula_sum 'Sm2 Pu1 Cd1'
_cell_length_a 5.479
_cell_length_b 5.479
_cell_length_c 5.479
_cell_angle_alpha 60.00
_cell_angle_beta 60.00
_cell_angle_gamma 60.00
_symmetry_space_group_name_H-M 'P 1'
_symmetry_Int_Tables_number 1
loop_
_symmetry_equiv_pos_as_xyz
'x,y,z'
loop_
_atom_site_label
_atom_site_type_symbol
_atom_site_fract_x
_atom_site_fract_y
_atom_site_fract_z
Sm1 Sm 0.250 0.250 0.250
Sm2 Sm 0.750 0.750 0.750
Pu1 Pu 0.000 0.000 0.000
Cd1 Cd 0.500 0.500 0.500

=====

(6)
# PBE-GGA Sm2PuCd, relaxed
# Energy of formation ... -0.03 eV/atom
# Energy relative to the lowest polymorph listed for this composition ... 0.0165 eV/atom
data_Sm2PuCd
_chemical_formula_sum 'Sm2 Pu1 Cd1'
_cell_length_a 5.568
_cell_length_b 5.568
_cell_length_c 3.653
_cell_angle_alpha 90.00
_cell_angle_beta 90.00
_cell_angle_gamma 90.00
_symmetry_space_group_name_H-M 'P 1'
_symmetry_Int_Tables_number 1
loop_
_symmetry_equiv_pos_as_xyz
'x,y,z'
loop_
_atom_site_label
_atom_site_type_symbol
_atom_site_fract_x
_atom_site_fract_y
_atom_site_fract_z
Sm1 Sm 0.000 0.500 0.000
Sm2 Sm 0.500 0.000 0.000
Pu1 Pu 0.000 0.000 0.500
Cd1 Cd 0.500 0.500 0.500

=====

(7)
# PBE-GGA SmPuCd4, relaxed
# Energy of formation ... 0.00 eV/atom
# Energy relative to the lowest polymorph listed for this composition ... 0.1384 eV/atom
data_SmPuCd4
_chemical_formula_sum 'Sm1 Pu1 Cd4'
_cell_length_a 9.654
_cell_length_b 9.654
_cell_length_c 9.654
_cell_angle_alpha 154.49
_cell_angle_beta 154.49
_cell_angle_gamma 36.39
_symmetry_space_group_name_H-M 'P 1'
_symmetry_Int_Tables_number 1
loop_
_symmetry_equiv_pos_as_xyz
'x,y,z'
loop_
_atom_site_label
_atom_site_type_symbol
_atom_site_fract_x
_atom_site_fract_y
_atom_site_fract_z
Sm1 Sm 0.000 0.000 0.000
Pu1 Pu 0.750 0.250 0.500
Cd1 Cd 0.172 0.672 0.500
Cd2 Cd 0.328 0.828 0.500
Cd3 Cd 0.423 0.423 0.000
Cd4 Cd 0.577 0.577 0.000

=====

(8)
# PBE-GGA Sm2PuCd, relaxed
# Energy of formation ... 0.22 eV/atom
# Energy relative to the lowest polymorph listed for this composition ... 0.2711 eV/atom
data_Sm2PuCd
_chemical_formula_sum 'Sm2 Pu1 Cd1'
_cell_length_a 12.133
_cell_length_b 12.133
_cell_length_c 12.133
_cell_angle_alpha 16.21
_cell_angle_beta 16.21
_cell_angle_gamma 16.21
_symmetry_space_group_name_H-M 'P 1'
_symmetry_Int_Tables_number 1
loop_
_symmetry_equiv_pos_as_xyz
'x,y,z'
loop_
_atom_site_label
_atom_site_type_symbol
_atom_site_fract_x
_atom_site_fract_y
_atom_site_fract_z
Sm1 Sm 0.092 0.092 0.092
Sm2 Sm 0.908 0.908 0.908
Pu1 Pu 0.000 0.000 0.000
Cd1 Cd 0.500 0.500 0.500

=====

(9)
# PBE-GGA SmPuCd4, relaxed
# Energy of formation ... -0.14 eV/atom
# Energy relative to the lowest polymorph listed for this composition ... 0.0000 eV/atom
data_SmPuCd4
_chemical_formula_sum 'Sm1 Pu1 Cd4'
_cell_length_a 5.966
_cell_length_b 5.966
_cell_length_c 5.966
_cell_angle_alpha 60.00
_cell_angle_beta 60.00
_cell_angle_gamma 60.00
_symmetry_space_group_name_H-M 'P 1'
_symmetry_Int_Tables_number 1
loop_
_symmetry_equiv_pos_as_xyz
'x,y,z'
loop_
_atom_site_label
_atom_site_type_symbol
_atom_site_fract_x
_atom_site_fract_y
_atom_site_fract_z
Sm1 Sm 0.000 0.000 0.000
Pu1 Pu 0.250 0.250 0.250
Cd1 Cd 0.124 0.625 0.625
Cd2 Cd 0.625 0.124 0.625
Cd3 Cd 0.625 0.625 0.124
Cd4 Cd 0.625 0.625 0.625

=====

(10)
# PBE-GGA Sm2PuCd6, relaxed
# Energy of formation ... -0.25 eV/atom
data_Sm2PuCd6
_chemical_formula_sum 'Sm2 Pu1 Cd6'
_cell_length_a 8.834
_cell_length_b 8.834
_cell_length_c 3.315
_cell_angle_alpha 90.00
_cell_angle_beta 90.00
_cell_angle_gamma 120.00
_symmetry_space_group_name_H-M 'P 1'
_symmetry_Int_Tables_number 1
loop_
_symmetry_equiv_pos_as_xyz
'x,y,z'
loop_
_atom_site_label
_atom_site_type_symbol
_atom_site_fract_x
_atom_site_fract_y
_atom_site_fract_z
Sm1 Sm 0.333 0.667 0.000
Sm2 Sm 0.667 0.333 0.000
Pu1 Pu 0.000 0.000 0.000
Cd1 Cd 0.000 0.334 0.500
Cd2 Cd 0.000 0.666 0.500
Cd3 Cd 0.334 0.000 0.500
Cd4 Cd 0.334 0.334 0.500
Cd5 Cd 0.666 0.000 0.500
Cd6 Cd 0.666 0.666 0.500

=====

(11)
# PBE-GGA SmPuCdSn, relaxed
# Energy of formation ... -0.33 eV/atom
data_SmPuCdSn
_chemical_formula_sum 'Sm1 Pu1 Cd1 Sn1'
_cell_length_a 5.383
_cell_length_b 5.383
_cell_length_c 5.383
_cell_angle_alpha 60.00
_cell_angle_beta 60.00
_cell_angle_gamma 60.00
_symmetry_space_group_name_H-M 'P 1'
_symmetry_Int_Tables_number 1
loop_
_symmetry_equiv_pos_as_xyz
'x,y,z'
loop_
_atom_site_label
_atom_site_type_symbol
_atom_site_fract_x
_atom_site_fract_y
_atom_site_fract_z
Sm1 Sm 0.000 0.000 0.000
Pu1 Pu 0.500 0.500 0.500
Cd1 Cd 0.750 0.750 0.750
Sn1 Sn 0.250 0.250 0.250

=====

(12)
# PBE-GGA SmPuTlCd, relaxed
# Energy of formation ... -0.15 eV/atom
data_SmPuTlCd
_chemical_formula_sum 'Sm1 Pu1 Tl1 Cd1'
_cell_length_a 5.415
_cell_length_b 5.415
_cell_length_c 5.415
_cell_angle_alpha 60.00
_cell_angle_beta 60.00
_cell_angle_gamma 60.00
_symmetry_space_group_name_H-M 'P 1'
_symmetry_Int_Tables_number 1
loop_
_symmetry_equiv_pos_as_xyz
'x,y,z'
loop_
_atom_site_label
_atom_site_type_symbol
_atom_site_fract_x
_atom_site_fract_y
_atom_site_fract_z
Sm1 Sm 0.000 0.000 0.000
Pu1 Pu 0.500 0.500 0.500
Tl1 Tl 0.250 0.250 0.250
Cd1 Cd 0.750 0.750 0.750

=====

(13)
# PBE-GGA SmTmPuCd, relaxed
# Energy of formation ... 0.08 eV/atom
data_SmTmPuCd
_chemical_formula_sum 'Sm1 Tm1 Pu1 Cd1'
_cell_length_a 5.414
_cell_length_b 5.414
_cell_length_c 5.414
_cell_angle_alpha 60.00
_cell_angle_beta 60.00
_cell_angle_gamma 60.00
_symmetry_space_group_name_H-M 'P 1'
_symmetry_Int_Tables_number 1
loop_
_symmetry_equiv_pos_as_xyz
'x,y,z'
loop_
_atom_site_label
_atom_site_type_symbol
_atom_site_fract_x
_atom_site_fract_y
_atom_site_fract_z
Sm1 Sm 0.000 0.000 0.000
Tm1 Tm 0.500 0.500 0.500
Pu1 Pu 0.750 0.750 0.750
Cd1 Cd 0.250 0.250 0.250

=====

(14)
# PBE-GGA SmYPuCd, relaxed
# Energy of formation ... 0.07 eV/atom
data_SmYPuCd
_chemical_formula_sum 'Sm1 Y1 Pu1 Cd1'
_cell_length_a 5.451
_cell_length_b 5.451
_cell_length_c 5.451
_cell_angle_alpha 60.00
_cell_angle_beta 60.00
_cell_angle_gamma 60.00
_symmetry_space_group_name_H-M 'P 1'
_symmetry_Int_Tables_number 1
loop_
_symmetry_equiv_pos_as_xyz
'x,y,z'
loop_
_atom_site_label
_atom_site_type_symbol
_atom_site_fract_x
_atom_site_fract_y
_atom_site_fract_z
Sm1 Sm 0.000 0.000 0.000
Y1 Y 0.500 0.500 0.500
Pu1 Pu 0.750 0.750 0.750
Cd1 Cd 0.250 0.250 0.250

=====

| no. | VASP energy (eV per cell) |
| --- | --- |
| 1 | -28.08 |
| 2 | -22.25 |
| 3 | -36.20 |
| 4 | -24.87 |
| 5 | -24.42 |
| 6 | -24.81 |
| 7 | -22.73 |
| 8 | -23.79 |
| 9 | -23.57 |
| 10 | -31.53 |
| 11 | -25.28 |
| 12 | -22.92 |
| 13 | -24.13 |
| 14 | -26.16 |